1.
This record from the Open Quantum Materials Database describes crystalline Nb2CoW at its relaxed geometry. The functional is PBE-GGA. Values from VASP.

Calculated values
Energy   -39.74 eV/cell
Space-group type   F-43m (216)

```
&SYSTEM
  ibrav = 0, nat = 4, ntyp = 3
/
ATOMIC_SPECIES
Co 58.93 Co.upf
Nb 92.91 Nb.upf
W 183.84 W.upf
CELL_PARAMETERS angstrom
2.8147 -3.4551 0.2239
2.7512 -0.4139 3.4886
-0.6719 -3.2343 2.9998
ATOMIC_POSITIONS angstrom
Co 1.2235 -1.7758 1.6781
Nb 0.0000 0.0000 0.0000
Nb 3.6706 -5.3275 5.0342
W 2.4471 -3.5517 3.3561
```


2.
This record from the Open Quantum Materials Database describes crystalline ErGaTc at its relaxed geometry. The functional is PBE-GGA. Values from VASP.

Calculated values
Energy   -15.39 eV/cell
Space-group type   F-43m (216)
Polymorph energy (0 for the lowest one)   767 meV per atom

```
&SYSTEM
  ibrav = 0, nat = 3, ntyp = 3
/
ATOMIC_SPECIES
Tc 98.00 Tc.upf
Er 167.26 Er.upf
Ga 69.72 Ga.upf
CELL_PARAMETERS angstrom
4.1820 0.2050 1.9092
1.1656 3.6099 2.6051
0.4799 -0.5045 4.5488
ATOMIC_POSITIONS angstrom
Tc 4.3707 2.4828 6.7974
Er 0.0000 0.0000 0.0000
Ga 1.4569 0.8276 2.2658
```


3.
This record from the Open Quantum Materials Database describes crystalline LiNiAgTeS2 at its relaxed geometry. The functional is PBE-GGA. Values from VASP.

Calculated values
Energy   -46.31 eV/cell
Space-group type   Cmcm (63)

```
&SYSTEM
  ibrav = 0, nat = 12, ntyp = 5
/
ATOMIC_SPECIES
S 32.06 S.upf
Ni 58.69 Ni.upf
Ag 107.87 Ag.upf
Te 127.60 Te.upf
Li 6.94 Li.upf
CELL_PARAMETERS angstrom
1.6616 -7.0192 0.0000
1.6616 7.0192 0.0000
0.0000 0.0000 10.2952
ATOMIC_POSITIONS angstrom
S 1.6616 -5.4664 4.9868
S 1.6616 -5.4664 0.1609
S 1.6616 5.4664 10.1343
S 1.6616 5.4664 5.3085
Ni 1.6616 0.0000 0.0000
Ni 1.6616 0.0000 5.1476
Ag 1.6616 5.2293 7.7214
Ag 1.6616 -5.2293 2.5738
Te 1.6616 0.8756 7.7214
Te 1.6616 -0.8756 2.5738
Li 1.6616 3.9621 2.5738
Li 1.6616 -3.9621 7.7214
```


4.
This record from the Open Quantum Materials Database describes crystalline YPaNO at its relaxed geometry. The functional is PBE-GGA. Values from VASP.

Calculated values
Energy   -141.26 eV/cell
Space-group type   Pbcm (57)
Polymorph energy (0 for the lowest one)   7 meV per atom

```
&SYSTEM
  ibrav = 0, nat = 16, ntyp = 4
/
ATOMIC_SPECIES
Y 88.91 Y.upf
O 16.00 O.upf
Pa 231.04 Pa.upf
N 14.01 N.upf
CELL_PARAMETERS angstrom
5.0891 0.0000 0.0000
0.0000 6.7672 0.0000
0.0000 0.0000 8.1505
ATOMIC_POSITIONS angstrom
Y 2.8028 2.8970 5.0294
Y 0.2582 0.4866 5.0294
Y 2.8028 6.2806 3.1211
Y 0.2582 3.8702 3.1211
O 2.7997 0.6430 5.0909
O 2.7997 4.0265 3.0596
O 0.2552 6.1242 3.0596
O 0.2552 2.7406 5.0909
Pa 2.8026 2.8343 1.0669
Pa 0.2580 3.9329 7.0836
Pa 0.2580 0.5493 1.0669
Pa 2.8026 6.2179 7.0836
N 2.8032 0.4828 1.0116
N 0.2586 2.9008 1.0116
N 0.2586 6.2844 7.1389
N 2.8032 3.8664 7.1389
```


5.
This record from the Open Quantum Materials Database describes crystalline K2CuMoCl6 at its relaxed geometry. The functional is PBE-GGA. Values from VASP.

Calculated values
Energy   -39.54 eV/cell
Space-group type   Fm-3m (225)

```
&SYSTEM
  ibrav = 0, nat = 10, ntyp = 4
/
ATOMIC_SPECIES
Cu 63.55 Cu.upf
Cl 35.45 Cl.upf
Mo 95.94 Mo.upf
K 39.10 K.upf
CELL_PARAMETERS angstrom
5.2410 -3.9555 -2.4148
0.6920 -6.6079 2.1914
-1.3408 -5.2941 -4.3727
ATOMIC_POSITIONS angstrom
Cu 0.0000 0.0000 0.0000
Cl 0.8328 -9.9031 -2.2400
Cl 3.7595 -5.9543 -2.3561
Cl 0.4889 -6.6195 -3.3290
Cl 4.1034 -9.2379 -1.2671
Cl 3.0932 -8.5851 -4.5289
Cl 1.4990 -7.2724 -0.0672
Mo 2.2961 -7.9287 -2.2981
K 3.4442 -11.8931 -3.4471
K 1.1481 -3.9644 -1.1490
```


6.
This record from the Open Quantum Materials Database describes crystalline Li2Re at its relaxed geometry. The functional is PBE-GGA. Values from VASP.

Calculated values
Energy   -29.91 eV/cell
Space-group type   Fd-3m (227)
Polymorph energy (0 for the lowest one)   0 meV per atom

```
&SYSTEM
  ibrav = 0, nat = 6, ntyp = 2
/
ATOMIC_SPECIES
Li 6.94 Li.upf
Re 186.21 Re.upf
CELL_PARAMETERS angstrom
0.0000 3.2646 3.2646
3.2646 0.0000 3.2646
3.2646 3.2646 0.0000
ATOMIC_POSITIONS angstrom
Li 4.0808 2.4485 2.4485
Li 2.4485 4.0808 2.4485
Li 2.4485 2.4485 4.0808
Li 4.0808 4.0808 4.0808
Re 0.0000 0.0000 0.0000
Re 1.6323 1.6323 1.6323
```


What is the formula in the sixth record? Li2Re